{"formula": "Te2CI", "functional": "GGA-PBE", "state": "relaxed", "lattice": [[-4.3408, -1.5519, 8.4088], [-1.8090, -4.8444, 8.0758], [-0.3350, -1.2190, 9.5059]], "species": ["I", "C", "Te", "Te"], "frac_coords": [[0.5000, 0.5000, 0.5000], [0.0000, 0.0000, 0.0000], [0.0696, 0.0696, 0.0696], [0.9304, 0.9304, 0.9304]], "e_tot_ev_per_cell": -13.5, "n_ef_per_ev_cell": 3.02, "space_group": "R-3m, No. 166", "polymorph_energy_mev_per_atom": 0, "raw_formation_energy_ev_per_atom": 0.896}


{"formula": "K3TlHg4", "functional": "GGA-PBE", "state": "relaxed", "lattice": [[-4.3134, -3.7521, 1.7693], [-0.2703, -1.6797, -4.2211], [9.5739, -7.4434, -2.5653]], "species": ["K", "K", "K", "Tl", "Hg", "Hg", "Hg", "Hg"], "frac_coords": [[0.0000, 0.5000, 0.0000], [0.8131, 0.8740, 0.6261], [0.1869, 0.1260, 0.3739], [0.5000, 0.0000, 0.0000], [0.5965, 0.3066, 0.1931], [0.4035, 0.6934, 0.8069], [0.3125, 0.3752, 0.6251], [0.6875, 0.6248, 0.3749]], "e_tot_ev_per_cell": -8.4, "n_ef_per_ev_cell": 2.75, "space_group": "Cmmm, No. 65", "polymorph_energy_mev_per_atom": 0}


Please write out number 1 again, unchanged.
{"formula": "Te2CI", "functional": "GGA-PBE", "state": "relaxed", "lattice": [[-4.3408, -1.5519, 8.4088], [-1.8090, -4.8444, 8.0758], [-0.3350, -1.2190, 9.5059]], "species": ["I", "C", "Te", "Te"], "frac_coords": [[0.5000, 0.5000, 0.5000], [0.0000, 0.0000, 0.0000], [0.0696, 0.0696, 0.0696], [0.9304, 0.9304, 0.9304]], "e_tot_ev_per_cell": -13.5, "n_ef_per_ev_cell": 3.02, "space_group": "R-3m, No. 166", "polymorph_energy_mev_per_atom": 0, "raw_formation_energy_ev_per_atom": 0.896}